Compound: W2NF2
Source: Alexandria via LeMat-Bulk
Functional: PBE+U
Structure: optimized geometry

Summary:
Electronic total energy, eV per cell: -46.964
Space-group type: P4/mbm, No. 127

Lattice parameters (Å, degrees): 6.776 6.776 2.938 90.00 90.00 90.00
Last column: magnetic moment on the atom in μB.
Sites, in units of the cell vectors:
N1 0.000 0.000 0.000  -0.30
N2 0.500 0.500 0.000  -0.30
W1 0.214 0.714 0.500  2.46
W2 0.714 0.786 0.500  2.47
W3 0.786 0.286 0.500  2.46
W4 0.286 0.214 0.500  2.47
F1 0.386 0.886 0.000  0.04
F2 0.886 0.614 0.000  0.04
F3 0.614 0.114 0.000  0.04
F4 0.114 0.386 0.000  0.04